No. 1
# Ce4TlGa GGA-PBE relaxed
data_Ce4TlGa
_chemical_formula_sum 'Ce16 Tl4 Ga4'
_cell_length_a 9.065
_cell_length_b 12.854
_cell_length_c 5.667
_cell_angle_alpha 90.00
_cell_angle_beta 110.59
_cell_angle_gamma 90.00
_symmetry_space_group_name_H-M 'C 1 2/c 1'
_symmetry_Int_Tables_number 15
loop_
_symmetry_equiv_pos_as_xyz
'x,y,z'
'-x,-y,-z'
'-x,y,-z+1/2'
'x,-y,z+1/2'
'x+1/2,y+1/2,z'
'-x+1/2,-y+1/2,-z'
'-x+1/2,y+1/2,-z+1/2'
'x+1/2,-y+1/2,z+1/2'
loop_
_atom_site_label
_atom_site_type_symbol
_atom_site_fract_x
_atom_site_fract_y
_atom_site_fract_z
_atom_site_occupancy
Ce1 Ce 0.122 0.192 0.166 1
Ce2 Ce 0.214 0.394 0.371 1
Tl1 Tl 0.000 0.384 0.750 1
Ga1 Ga 0.000 0.022 0.750 1
# **ΔE_f**: -0.257 eV per atom
# **M_tot**: 0.0 Bohr magnetons per cell


No. 2
# BaBiPbAu2 GGA-PBE relaxed
data_BaBiPbAu2
_chemical_formula_sum 'Ba1 Bi1 Pb1 Au2'
_cell_length_a 5.458
_cell_length_b 5.458
_cell_length_c 6.071
_cell_angle_alpha 90.00
_cell_angle_beta 90.00
_cell_angle_gamma 90.00
_symmetry_space_group_name_H-M 'P 4/m m m'
_symmetry_Int_Tables_number 123
_symmetry_space_group_name_Hall '-P 4 2'
loop_
_atom_site_label
_atom_site_type_symbol
_atom_site_fract_x
_atom_site_fract_y
_atom_site_fract_z
_atom_site_occupancy
Ba1 Ba 0.000 0.000 0.000 1
Bi1 Bi 0.500 0.500 0.000 1
Pb1 Pb 0.500 0.500 0.500 1
Au1 Au 0.000 0.500 0.500 1
# **ΔE_f**: -0.108 eV per atom
# **M_tot**: 0.0 Bohr magnetons per cell


No. 3
# Li2MgZn GGA-PBE relaxed
data_Li2MgZn
_chemical_formula_sum 'Li2 Mg1 Zn1'
_cell_length_a 3.291
_cell_length_b 3.291
_cell_length_c 6.411
_cell_angle_alpha 90.00
_cell_angle_beta 90.00
_cell_angle_gamma 90.00
_symmetry_space_group_name_H-M 'P 4/m m m'
_symmetry_Int_Tables_number 123
_symmetry_space_group_name_Hall '-P 4 2'
loop_
_atom_site_label
_atom_site_type_symbol
_atom_site_fract_x
_atom_site_fract_y
_atom_site_fract_z
_atom_site_occupancy
Li1 Li 0.000 0.000 0.216 1
Mg1 Mg 0.500 0.500 0.500 1
Zn1 Zn 0.500 0.500 0.000 1
# **ΔE_f**: -0.100 eV per atom
# **M_tot**: 0.0 Bohr magnetons per cell


No. 4
# FeAgIr2 GGA-PBE relaxed
data_FeAgIr2
_chemical_formula_sum 'Fe1 Ag1 Ir2'
_cell_length_a 2.739
_cell_length_b 4.281
_cell_length_c 5.300
_cell_angle_alpha 90.00
_cell_angle_beta 104.74
_cell_angle_gamma 90.00
_symmetry_space_group_name_H-M 'P 1 2/m 1'
_symmetry_Int_Tables_number 10
loop_
_symmetry_equiv_pos_as_xyz
'x,y,z'
'-x,-y,-z'
'-x,y,-z'
'x,-y,z'
loop_
_atom_site_label
_atom_site_type_symbol
_atom_site_fract_x
_atom_site_fract_y
_atom_site_fract_z
_atom_site_occupancy
Fe1 Fe 0.000 0.000 0.000 1
Ag1 Ag 0.000 0.000 0.500 1
Ir1 Ir 0.375 0.500 0.229 1
# **ΔE_f**: 0.292 eV per atom
# **M_tot**: 4.0 Bohr magnetons per cell


No. 5
# KYIn4 GGA-PBE relaxed
data_KYIn4
_chemical_formula_sum 'K4 Y4 In16'
_cell_length_a 8.733
_cell_length_b 8.733
_cell_length_c 8.733
_cell_angle_alpha 90.00
_cell_angle_beta 90.00
_cell_angle_gamma 90.00
_symmetry_space_group_name_H-M 'F -4 3 m'
_symmetry_Int_Tables_number 216
_symmetry_space_group_name_Hall 'F -4 2 3'
loop_
_atom_site_label
_atom_site_type_symbol
_atom_site_fract_x
_atom_site_fract_y
_atom_site_fract_z
_atom_site_occupancy
K1 K 0.000 0.000 0.000 1
Y1 Y 0.250 0.250 0.750 1
In1 In 0.125 0.125 0.375 1
# **ΔE_f**: -0.138 eV per atom
# **M_tot**: 0.0 Bohr magnetons per cell


No. 6
# V3AgI GGA-PBE relaxed
data_V3AgI
_chemical_formula_sum 'V3 Ag1 I1'
_cell_length_a 5.028
_cell_length_b 5.028
_cell_length_c 5.028
_cell_angle_alpha 90.00
_cell_angle_beta 90.00
_cell_angle_gamma 90.00
_symmetry_space_group_name_H-M 'P m -3 m'
_symmetry_Int_Tables_number 221
_symmetry_space_group_name_Hall '-P 4 2 3'
loop_
_atom_site_label
_atom_site_type_symbol
_atom_site_fract_x
_atom_site_fract_y
_atom_site_fract_z
_atom_site_occupancy
V1 V 0.000 0.000 0.500 1
Ag1 Ag 0.000 0.000 0.000 1
I1 I 0.500 0.500 0.500 1
# **VASP energy**: -4.829 eV per atom
# **M_tot**: 9.3 Bohr magnetons per cell


No. 7
# TcNiP2S GGA-PBE relaxed
data_TcNiP2S
_chemical_formula_sum 'Tc1 Ni1 P2 S1'
_cell_length_a 4.494
_cell_length_b 4.494
_cell_length_c 4.861
_cell_angle_alpha 90.00
_cell_angle_beta 90.00
_cell_angle_gamma 90.00
_symmetry_space_group_name_H-M 'P 4/m m m'
_symmetry_Int_Tables_number 123
_symmetry_space_group_name_Hall '-P 4 2'
loop_
_atom_site_label
_atom_site_type_symbol
_atom_site_fract_x
_atom_site_fract_y
_atom_site_fract_z
_atom_site_occupancy
Tc1 Tc 0.000 0.000 0.000 1
Ni1 Ni 0.500 0.500 0.500 1
P1 P 0.000 0.500 0.000 1
S1 S 0.000 0.000 0.500 1
# **VASP energy**: -5.350 eV per atom
# **M_tot**: 0.8 Bohr magnetons per cell


No. 8
# Zr2SnN2 GGA-PBE relaxed
data_Zr2SnN2
_chemical_formula_sum 'Zr4 Sn2 N4'
_cell_length_a 7.633
_cell_length_b 7.633
_cell_length_c 3.162
_cell_angle_alpha 90.00
_cell_angle_beta 90.00
_cell_angle_gamma 90.00
_symmetry_space_group_name_H-M 'P 4/m b m'
_symmetry_Int_Tables_number 127
_symmetry_space_group_name_Hall '-P 4 2ab'
loop_
_atom_site_label
_atom_site_type_symbol
_atom_site_fract_x
_atom_site_fract_y
_atom_site_fract_z
_atom_site_occupancy
Zr1 Zr 0.133 0.367 0.000 1
Sn1 Sn 0.000 0.000 0.000 1
N1 N 0.071 0.571 0.500 1
# **VASP energy**: -7.778 eV per atom
# **M_tot**: 0.0 Bohr magnetons per cell


D(E_F)? In order: 50.99, 3.47, 2.17, 3.60, 18.89, 13.73, 5.23, 0.64 states/eV/cell.